1.
# GGA-PBE Cs2K8Rb, optimized geometry
data_Cs2K8Rb
_cell_length_a 27.1303
_cell_length_b 8.8075
_cell_length_c 7.8667
_cell_angle_alpha 90.00
_cell_angle_beta 99.67
_cell_angle_gamma 90.00
_symmetry_space_group_name_H-M 'C 1 2/m 1'
_symmetry_Int_Tables_number 12
_symmetry_space_group_name_Hall '-C 2y'
loop_
_atom_site_label
_atom_site_type_symbol
_atom_site_fract_x
_atom_site_fract_y
_atom_site_fract_z
_atom_site_occupancy
Cs1 Cs 0.2378 0.0000 0.3344 1
K1 K 0.0799 0.0000 0.9978 1
K2 K 0.0850 0.2549 0.5195 1
K3 K 0.1647 0.5000 0.0832 1
Rb1 Rb 0.0000 0.5000 0.0000 1
# Excess energy over the best structure of this formula in the dataset in meV/atom: 19
# E_form in eV per atom: 0.04
# Total DFT energy (no corrections) in eV per atom: -1.00
# Magnetic moment in μB per formula unit: 0.00
# ρ in g cm⁻³: 1.19
# Calculated volume in Å³ per cell: 1853.0

***

2.
# GGA-PBE Cs3KRb3, optimized geometry
data_Cs3KRb3
_cell_length_a 16.7297
_cell_length_b 16.2016
_cell_length_c 10.6809
_cell_angle_alpha 90.00
_cell_angle_beta 90.03
_cell_angle_gamma 90.00
_symmetry_space_group_name_H-M 'C 1 2/m 1'
_symmetry_Int_Tables_number 12
_symmetry_space_group_name_Hall '-C 2y'
loop_
_atom_site_label
_atom_site_type_symbol
_atom_site_fract_x
_atom_site_fract_y
_atom_site_fract_z
_atom_site_occupancy
Cs1 Cs 0.9999 0.0000 0.2480 1
Cs2 Cs 0.2497 0.2490 0.2441 1
K1 K 0.2395 0.5000 0.0016 1
Rb1 Rb 0.0000 0.2964 0.5000 1
Rb2 Rb 0.0000 0.3375 0.0000 1
Rb3 Rb 0.2157 0.5000 0.4985 1
# Excess energy over the best structure of this formula in the dataset in meV/atom: 0
# E_form in eV per atom: 0.04
# Total DFT energy (no corrections) in eV per atom: -0.90
# Magnetic moment in μB per formula unit: 0.00
# ρ in g cm⁻³: 1.59
# Calculated volume in Å³ per cell: 2895.0

***

3.
# GGA-PBE Cs4K7Rb5, optimized geometry
data_Cs4K7Rb5
_cell_length_a 10.9633
_cell_length_b 10.9633
_cell_length_c 23.2332
_cell_angle_alpha 90.00
_cell_angle_beta 90.00
_cell_angle_gamma 90.00
_symmetry_space_group_name_H-M 'I -4 2 m'
_symmetry_Int_Tables_number 121
_symmetry_space_group_name_Hall 'I -4 2'
loop_
_atom_site_label
_atom_site_type_symbol
_atom_site_fract_x
_atom_site_fract_y
_atom_site_fract_z
_atom_site_occupancy
Cs1 Cs 0.2444 0.2444 0.1209 1
K1 K 0.0000 0.0000 0.0000 1
K2 K 0.0000 0.5000 0.0000 1
K3 K 0.2466 0.2466 0.8795 1
Rb1 Rb 0.0000 0.0000 0.2546 1
Rb2 Rb 0.0000 0.0000 0.5000 1
Rb3 Rb 0.0000 0.5000 0.2500 1
# E_form in eV per atom: 0.01
# Total DFT energy (no corrections) in eV per atom: -0.99
# Magnetic moment in μB per formula unit: 0.00
# ρ in g cm⁻³: 1.47
# Calculated volume in Å³ per cell: 2792.5

***

4.
# GGA-PBE Cs8K2Rb3, optimized geometry
data_Cs8K2Rb3
_cell_length_a 14.0023
_cell_length_b 8.1704
_cell_length_c 14.0200
_cell_angle_alpha 90.00
_cell_angle_beta 111.64
_cell_angle_gamma 90.00
_symmetry_space_group_name_H-M 'P 1 2/m 1'
_symmetry_Int_Tables_number 10
_symmetry_space_group_name_Hall '-P 2y'
loop_
_atom_site_label
_atom_site_type_symbol
_atom_site_fract_x
_atom_site_fract_y
_atom_site_fract_z
_atom_site_occupancy
Cs1 Cs 0.1068 0.0000 0.3642 1
Cs2 Cs 0.1161 0.5000 0.8837 1
Cs3 Cs 0.3470 0.5000 0.6530 1
Cs4 Cs 0.3638 0.0000 0.1063 1
K1 K 0.2559 0.0000 0.7438 1
Rb1 Rb 0.2858 0.5000 0.2855 1
Rb2 Rb 0.5000 0.0000 0.5000 1
# Excess energy over the best structure of this formula in the dataset in meV/atom: 15
# E_form in eV per atom: 0.05
# Total DFT energy (no corrections) in eV per atom: -0.86
# Magnetic moment in μB per formula unit: 0.00
# ρ in g cm⁻³: 1.56
# Calculated volume in Å³ per cell: 1490.9

***

Which value of calculated volume does entry 2 give?
2895.0 Å³ per cell

***

Which of these has the highest total DFT energy (no corrections)?
Cs8K2Rb3